[1]
## SrI2Cl (GGA-PBEsol)

Data for a relaxed SrI2Cl crystal.

extended XYZ file:
```
4
Lattice="5.612 0.000 0.000 2.806 4.860 0.000 2.806 1.620 4.582" Properties=species:S:1:pos:R:3 pbc="T T T"
I 2.806 1.620 1.146
I 8.418 4.860 3.437
Sr 5.612 3.240 2.291
Cl 0.000 0.000 0.000
```

Summary:
formation energy from raw total energies = -1.085 eV per atom

=====

[2]
## SiBrO2 (GGA-PBEsol)

Data for a relaxed SiBrO2 crystal.

extended XYZ file:
```
8
Lattice="-3.399 -2.884 -2.932 -4.142 -2.424 2.331 -4.958 1.777 -0.855" Properties=species:S:1:pos:R:3 pbc="T T T"
O -6.112 -0.765 0.556
O -7.811 -2.207 -0.910
O -5.332 -3.096 -0.482
O -5.740 -0.995 -2.076
Si -6.249 -1.766 -0.728
Si -9.374 -2.649 -1.092
Br -3.125 -0.883 -0.364
Br 0.000 0.000 0.000
```

Summary:
relative energy among the computed polymorphs = 6 meV per atom
formation energy from raw total energies = -1.769 eV per atom